Below is crystalline Sr6Ag3Br14 at its relaxed geometry, with properties calculated at the PBE-GGA level.

abc: 7.270 10.784 10.784
angles: 120.00 90.00 90.00
Each line ends with the local moment (μB).
Fractional positions:
Sr  0.762  0.484  0.522  0.01
Sr  0.762  0.037  0.516  0.01
Sr  0.267  0.847  0.148  0.01
Sr  0.267  0.300  0.153  0.01
Sr  0.762  0.478  0.963  0.01
Sr  0.267  0.852  0.700  0.01
Br  0.519  0.203  0.792  0.00
Br  0.957  0.333  0.667  0.00
Br  0.519  0.589  0.797  0.00
Br  0.027  0.745  0.870  0.00
Br  0.027  0.126  0.255  0.00
Br  0.462  0.000  0.000  0.00
Br  0.692  0.390  0.196  0.03
Br  0.692  0.806  0.610  0.03
Br  0.162  0.535  0.467  0.02
Br  0.162  0.533  0.069  0.02
Br  0.692  0.804  0.194  0.03
Br  0.027  0.130  0.874  0.00
Br  0.162  0.931  0.465  0.02
Br  0.519  0.208  0.411  0.00
Ag  0.475  0.667  0.333  0.17
Ag  0.327  0.333  0.667  0.00
Ag  0.834  0.000  0.000  0.00

Results
The calculation puts the uncorrected formation energy at -1.59 eV/atom.